Below is crystalline NaTbNiSe3 at its relaxed geometry, with properties calculated at the GGA-PBE level.

Output
E_tot: -114.2 eV/cell

Structure (CIF):
```
data_NaTbNiSe3
_cell_length_a 3.9509
_cell_length_b 13.7781
_cell_length_c 10.4479
_cell_angle_alpha 90.00
_cell_angle_beta 90.00
_cell_angle_gamma 90.00
_space_group_name_H-M_alt 'C m c m'
_space_group_IT_number 63
_space_group_name_Hall '-C 2c 2'
loop_
_atom_site_label
_atom_site_fract_x
_atom_site_fract_y
_atom_site_fract_z
Na1 0.0000 0.2468 0.2500
Tb1 0.0000 0.0000 0.0000
Ni1 0.0000 0.4842 0.7500
Se1 0.0000 0.0851 0.7500
Se2 0.0000 0.3649 0.5855
```

Below is crystalline NaTbNiSe3 at its relaxed geometry, with properties calculated at the GGA-PBE level.

Output
E_tot: -57.5 eV/cell

Structure (CIF):
```
data_NaTbNiSe3
_cell_length_a 8.3310
_cell_length_b 4.0108
_cell_length_c 9.2445
_cell_angle_alpha 90.00
_cell_angle_beta 103.04
_cell_angle_gamma 90.00
_space_group_name_H-M_alt 'P 1 21/m 1'
_space_group_IT_number 11
loop_
_space_group_symop_operation_xyz
'x,y,z'
'-x,-y,-z'
'-x,y+1/2,-z'
'x,-y+1/2,z'
loop_
_atom_site_label
_atom_site_fract_x
_atom_site_fract_y
_atom_site_fract_z
Na1 0.1967 0.2500 0.2268
Tb1 0.3220 0.7500 0.8542
Ni1 0.0800 0.2500 0.5911
Se1 0.0797 0.2500 0.8527
Se2 0.2009 0.7500 0.5279
Se3 0.4390 0.7500 0.1699
```

Below is crystalline NaTbNiSe3 at its relaxed geometry, with properties calculated at the GGA-PBE level.

Output
E_tot: -114.0 eV/cell

Structure (CIF):
```
data_NaTbNiSe3
_cell_length_a 11.0981
_cell_length_b 4.0822
_cell_length_c 11.9619
_cell_angle_alpha 90.00
_cell_angle_beta 90.00
_cell_angle_gamma 90.00
_space_group_name_H-M_alt 'P n m a'
_space_group_IT_number 62
loop_
_space_group_symop_operation_xyz
'x,y,z'
'-x,-y,-z'
'-x+1/2,-y,z+1/2'
'x+1/2,y,-z+1/2'
'x+1/2,-y+1/2,-z+1/2'
'-x+1/2,y+1/2,z+1/2'
'-x,y+1/2,-z'
'x,-y+1/2,z'
loop_
_atom_site_label
_atom_site_fract_x
_atom_site_fract_y
_atom_site_fract_z
Na1 0.1832 0.2500 0.0049
Tb1 0.0154 0.2500 0.3131
Ni1 0.2502 0.2500 0.7164
Se1 0.0509 0.7500 0.1458
Se2 0.1108 0.2500 0.5624
Se3 0.2194 0.7500 0.8078
```

Summary of volume in Å³ per atom
23.70, 25.08, 22.58
(order as listed above)